Entry 1:
The following is a DFT calculation (PBE) of a relaxed structure of UAl3ZnCu.

Results
- Crystal system: orthorhombic
- Energy of formation: 0.151 eV/atom

abc: 5.7402 5.9843 7.0262
angles: 115.20 90.00 90.00
Site moments in Bohr magnetons follow the coordinates.
Element x y z (fractional)
U 0.7500 0.2933 0.5867  2.60
U 0.2500 0.7067 0.4133  2.60
Al 0.2500 0.1358 0.2715  0.01
Al 0.0000 0.2876 0.0000  0.00
Al 0.5000 0.7124 0.0000  0.00
Al 0.5000 0.2876 0.0000  0.00
Al 0.0000 0.7124 0.0000  0.00
Al 0.7500 0.8642 0.7285  0.01
Zn 0.2500 0.3447 0.6893  0.03
Zn 0.7500 0.6553 0.3107  0.03
Cu 0.2500 0.9192 0.8384  0.02
Cu 0.7500 0.0808 0.1616  0.02



Entry 2:
The following is a DFT calculation (PBE) of a relaxed structure of AlVCu.

Results
- Crystal system: trigonal
- Energy of formation: -0.050 eV/atom

abc: 2.7565 4.1551 4.1551
angles: 120.00 90.00 90.00
Site moments in Bohr magnetons follow the coordinates.
Element x y z (fractional)
Al 0.5011 0.6667 0.3333  -0.01
Cu 0.4985 0.3333 0.6667  0.02
V 0.0004 0.0000 0.0000  0.47



Entry 3:
The following is a DFT calculation (PBE) of a relaxed structure of AlVCu2.

Results
- Crystal system: tetragonal
- Energy of formation: -0.048 eV/atom

abc: 2.7590 2.7590 6.8296
angles: 90.00 90.00 90.00
Element x y z (fractional)
Al 0.5000 0.5000 0.5000
Cu 0.0000 0.0000 0.7403
Cu 0.0000 0.0000 0.2597
V 0.5000 0.5000 0.0000



Entry 4:
The following is a DFT calculation (PBE) of a relaxed structure of Al2VCu.

Results
- Crystal system: tetragonal
- Energy of formation: -0.259 eV/atom

abc: 3.6169 3.8976 3.8976
angles: 90.00 90.00 90.00
Element x y z (fractional)
Al 0.0000 0.0000 0.5000
Al 0.0000 0.5000 0.0000
Cu 0.5000 0.0000 0.0000
V 0.5000 0.5000 0.5000



Entry 5:
The following is a DFT calculation (PBE) of a relaxed structure of AlVCu2.

Results
- Crystal system: tetragonal
- Energy of formation: -0.041 eV/atom

abc: 3.6929 3.7899 3.7899
angles: 90.00 90.00 90.00
Site moments in Bohr magnetons follow the coordinates.
Element x y z (fractional)
Al 0.5000 0.0000 0.0000  -0.01
Cu 0.0000 0.0000 0.5000  0.07
Cu 0.0000 0.5000 0.0000  0.07
V 0.5000 0.5000 0.5000  1.17



Entry 6:
The following is a DFT calculation (PBE) of a relaxed structure of AlVCu2.

Results
- Crystal system: tetragonal
- Energy of formation: 0.399 eV/atom

abc: 6.7586 6.7586 5.4289
angles: 51.50 51.50 90.00
Site moments in Bohr magnetons follow the coordinates.
Element x y z (fractional)
Al 0.5000 0.5000 0.0000  0.00
Al 0.2500 0.7500 0.5000  0.00
Cu 0.6137 0.1250 0.2500  0.08
Cu 0.1363 0.6250 0.2500  0.08
Cu 0.3750 0.3863 0.7500  0.08
Cu 0.8750 0.8637 0.7500  0.08
V 0.0000 0.0000 0.0000  1.77
V 0.7500 0.2500 0.5000  1.77



Entry 7:
The following is a DFT calculation (PBE) of a relaxed structure of AlVCu.

Results
- Crystal system: tetragonal
- Energy of formation: -0.140 eV/atom

abc: 2.7345 2.7345 5.7080
angles: 103.86 103.86 90.00
Element x y z (fractional)
Al 0.6719 0.6719 0.3438
Cu 0.3306 0.3306 0.6613
V 0.9974 0.9974 0.9949



Entry 8:
The following is a DFT calculation (PBE) of a relaxed structure of AlV2Cu.

Results
- Crystal system: tetragonal
- Energy of formation: 0.390 eV/atom

abc: 6.8738 6.8738 5.4432
angles: 50.85 50.85 90.00
Element x y z (fractional)
Al 0.5000 0.5000 0.0000
Al 0.2500 0.7500 0.5000
Cu 0.0000 0.0000 0.0000
Cu 0.7500 0.2500 0.5000
V 0.6382 0.1250 0.2500
V 0.1118 0.6250 0.2500
V 0.3750 0.3618 0.7500
V 0.8750 0.8882 0.7500



Entry 9:
The following is a DFT calculation (PBE) of a relaxed structure of Al2VCu.

Results
- Crystal system: trigonal
- Energy of formation: -0.105 eV/atom

abc: 2.7588 2.7588 8.7481
angles: 80.93 80.93 60.00
Element x y z (fractional)
Al 0.7512 0.7512 0.7464
Al 0.2488 0.2488 0.2536
Cu 0.5000 0.5000 0.5000
V 0.0000 0.0000 0.0000



Entry 10:
The following is a DFT calculation (PBE) of a relaxed structure of Al4VCu2.

Results
- Crystal system: tetragonal
- Energy of formation: 0.543 eV/atom

abc: 4.7005 4.7005 6.9208
angles: 70.15 70.15 90.00
Element x y z (fractional)
Al 0.2016 0.2016 0.5968
Al 0.7984 0.7984 0.4032
Al 0.0000 0.5000 0.0000
Al 0.5000 0.0000 0.0000
Cu 0.3990 0.3990 0.2020
Cu 0.6010 0.6010 0.7980
V 0.0000 0.0000 0.0000



Entry 11:
The following is a DFT calculation (PBE) of a relaxed structure of AlVCu.

Results
- Crystal system: tetragonal
- Energy of formation: -0.194 eV/atom

abc: 3.0905 3.0905 8.5085
angles: 90.00 90.00 90.00
Element x y z (fractional)
Al 0.7502 0.2498 0.7585
Al 0.2498 0.7502 0.2415
V 0.7500 0.2500 0.4337
V 0.2500 0.7500 0.5663
Cu 0.2501 0.7499 0.9159
Cu 0.7499 0.2501 0.0841



Entry 12:
The following is a DFT calculation (PBE) of a relaxed structure of Al2VCu.

Results
- Crystal system: tetragonal
- Energy of formation: -0.213 eV/atom

abc: 2.7732 2.7732 7.1706
angles: 90.00 90.00 90.00
Element x y z (fractional)
Al 0.0000 0.0000 0.7603
Al 0.0000 0.0000 0.2397
Cu 0.5000 0.5000 0.0000
V 0.5000 0.5000 0.5000



Entry 13:
The following is a DFT calculation (PBE) of a relaxed structure of AlV2Cu2.

Results
- Crystal system: tetragonal
- Energy of formation: 0.168 eV/atom

abc: 6.7278 6.7278 3.0115
angles: 90.00 90.00 90.00
Element x y z (fractional)
Al 0.0000 0.0000 0.0000
Al 0.5000 0.5000 0.0000
Cu 0.3743 0.8743 0.0000
Cu 0.8743 0.6257 0.0000
Cu 0.6257 0.1257 0.0000
Cu 0.1257 0.3743 0.0000
V 0.1723 0.6723 0.5000
V 0.6723 0.8277 0.5000
V 0.8277 0.3277 0.5000
V 0.3277 0.1723 0.5000



Entry 14:
The following is a DFT calculation (PBE) of a relaxed structure of Al3VCu.

Results
- Relative energy among the computed polymorphs: 560.1 meV per atom
- Crystal system: cubic
- Energy of formation: 0.542 eV/atom

abc: 4.4915 4.4915 4.4915
angles: 90.00 90.00 90.00
Site moments in Bohr magnetons follow the coordinates.
Element x y z (fractional)
Al 0.0000 0.5000 0.0000  -0.02
Al 0.0000 0.0000 0.5000  -0.02
Al 0.5000 0.0000 0.0000  -0.02
Cu 0.0000 0.0000 0.0000  0.01
V 0.5000 0.5000 0.5000  2.60



Entry 15:
The following is a DFT calculation (PBE) of a relaxed structure of Al3VCu.

Results
- Relative energy among the computed polymorphs: 0.0 meV per atom
- Crystal system: monoclinic
- Energy of formation: -0.018 eV/atom

abc: 4.6549 5.3916 6.4051
angles: 90.00 111.49 90.00
Site moments in Bohr magnetons follow the coordinates.
Element x y z (fractional)
Al 0.1863 0.0000 0.3742  -0.01
Al 0.8137 0.5000 0.6258  -0.01
Al 0.8137 0.0000 0.6258  -0.01
Al 0.1863 0.5000 0.3742  -0.01
Al 0.6091 0.2500 0.2140  -0.02
Al 0.3909 0.7500 0.7860  -0.02
V 0.3891 0.2500 0.7714  1.46
V 0.6109 0.7500 0.2286  1.46
Cu 0.9930 0.7500 0.9955  0.04
Cu 0.0070 0.2500 0.0045  0.04



Entry 16:
The following is a DFT calculation (PBE) of a relaxed structure of AlV2Cu.

Results
- Crystal system: monoclinic
- Energy of formation: -0.145 eV/atom

abc: 4.0691 3.1132 9.2935
angles: 90.00 113.42 90.00
Element x y z (fractional)
Al 0.3257 0.2500 0.3687
Al 0.6743 0.7500 0.6313
V 0.6118 0.2500 0.1229
V 0.3882 0.7500 0.8771
V 0.1059 0.7500 0.1167
V 0.8941 0.2500 0.8833
Cu 0.8318 0.7500 0.3770
Cu 0.1682 0.2500 0.6230



Entry 17:
The following is a DFT calculation (PBE) of a relaxed structure of AlV2Cu.

Results
- Crystal system: tetragonal
- Energy of formation: -0.138 eV/atom

abc: 4.1869 3.5707 3.5707
angles: 90.00 90.00 90.00
Element x y z (fractional)
Al 0.5000 0.0000 0.0000
Cu 0.5000 0.5000 0.5000
V 0.0000 0.0000 0.5000
V 0.0000 0.5000 0.0000



Entry 18:
The following is a DFT calculation (PBE) of a relaxed structure of AlV2Cu.

Results
- Crystal system: tetragonal
- Energy of formation: 0.106 eV/atom

abc: 4.2646 4.2652 4.2743
angles: 59.92 120.08 119.82
Site moments in Bohr magnetons follow the coordinates.
Element x y z (fractional)
Al 0.7264 0.0583 0.7700  -0.01
V 0.2264 0.5582 0.2700  1.21
V 0.9765 0.8082 0.5201  -0.69
Cu 0.4762 0.3079 0.0201  0.07



Entry 19:
The following is a DFT calculation (PBE) of a relaxed structure of Al2VCu.

Results
- Crystal system: tetragonal
- Energy of formation: 0.235 eV/atom

abc: 6.7769 6.7769 5.4769
angles: 51.78 51.78 90.00
Element x y z (fractional)
Al 0.6541 0.1250 0.2500
Al 0.0959 0.6250 0.2500
Al 0.3750 0.3459 0.7500
Al 0.8750 0.9041 0.7500
Cu 0.0000 0.0000 0.0000
Cu 0.7500 0.2500 0.5000
V 0.5000 0.5000 0.0000
V 0.2500 0.7500 0.5000



Entry 20:
The following is a DFT calculation (PBE) of a relaxed structure of Al2V2Cu.

Results
- Crystal system: tetragonal
- Energy of formation: 0.068 eV/atom

abc: 6.1885 6.1885 3.8074
angles: 90.00 90.00 90.00
Element x y z (fractional)
Al 0.3542 0.8542 0.0000
Al 0.8542 0.6458 0.0000
Al 0.6458 0.1458 0.0000
Al 0.1458 0.3542 0.0000
Cu 0.0000 0.0000 0.0000
Cu 0.5000 0.5000 0.0000
V 0.1490 0.6490 0.5000
V 0.6490 0.8510 0.5000
V 0.8510 0.3510 0.5000
V 0.3510 0.1490 0.5000